1.
A plane-wave DFT calculation with PBE was carried out for crystalline Sc3OsPt at its relaxed geometry.

Structure (extended XYZ):
```
5
Lattice="4.916 0.000 0.000 0.000 4.916 0.000 0.000 0.000 4.916" Properties=species:S:1:pos:R:3 pbc="T T T"
Sc 0.000 0.000 2.458
Sc 0.000 2.458 0.000
Sc 2.458 0.000 0.000
Os 0.000 0.000 0.000
Pt 2.458 2.458 2.458
```

Output
- Offset from the most stable computed form: 0 meV per atom
- Uncorrected energy: -36.38 eV per formula unit
- Magnetization: 0.0 Bohr magnetons per cell

---

2.
A plane-wave DFT calculation with PBE was carried out for crystalline Sc2OsPt at its relaxed geometry.

Structure (extended XYZ):
```
16
Lattice="4.232 0.000 0.000 0.000 4.232 0.000 0.000 0.000 17.396" Properties=species:S:1:pos:R:3 pbc="T T T"
Sc 1.030 1.058 2.174
Sc 1.058 3.146 6.523
Sc 1.058 3.202 15.221
Sc 1.086 1.058 10.872
Sc 3.146 3.174 10.872
Sc 3.174 1.030 15.221
Sc 3.174 1.086 6.523
Sc 3.202 3.174 2.174
Os 0.000 0.000 0.000
Os 0.000 2.116 4.349
Os 2.116 0.000 13.047
Os 2.116 2.116 8.698
Pt 0.000 0.000 8.698
Pt 0.000 2.116 13.047
Pt 2.116 0.000 4.349
Pt 2.116 2.116 0.000
```

Output
- Offset from the most stable computed form: 1003 meV per atom
- Uncorrected energy: -29.51 eV per formula unit
- Magnetization: 0.0 Bohr magnetons per cell

---

3.
A plane-wave DFT calculation with PBE was carried out for crystalline ScOs2Pt at its relaxed geometry.

Structure (extended XYZ):
```
4
Lattice="2.749 0.000 0.000 0.000 4.072 0.000 0.000 0.000 5.726" Properties=species:S:1:pos:R:3 pbc="T T T"
Sc 0.000 0.000 0.000
Os 1.374 2.036 1.575
Os 1.374 2.036 4.151
Pt 0.000 0.000 2.863
```

Output
- Uncorrected energy: -34.73 eV per formula unit
- Magnetization: 0.0 Bohr magnetons per cell

---

4.
A plane-wave DFT calculation with PBE was carried out for crystalline ScOsPt2 at its relaxed geometry.

Structure (extended XYZ):
```
16
Lattice="6.418 0.000 0.000 0.000 6.418 0.000 0.000 0.000 6.418" Properties=species:S:1:pos:R:3 pbc="T T T"
Sc 0.000 0.000 0.000
Sc 0.000 3.209 3.209
Sc 3.209 0.000 3.209
Sc 3.209 3.209 0.000
Os 0.000 0.000 3.209
Os 0.000 3.209 0.000
Os 3.209 0.000 0.000
Os 3.209 3.209 3.209
Pt 1.605 1.605 1.605
Pt 1.605 1.605 4.814
Pt 1.605 4.814 1.605
Pt 1.605 4.814 4.814
Pt 4.814 1.605 1.605
Pt 4.814 1.605 4.814
Pt 4.814 4.814 1.605
Pt 4.814 4.814 4.814
```

Output
- Uncorrected energy: -30.53 eV per formula unit
- Magnetization: 4.1 Bohr magnetons per cell

---

5.
A plane-wave DFT calculation with PBE was carried out for crystalline ScOs2Pt at its relaxed geometry.

Structure (extended XYZ):
```
8
Lattice="9.329 0.000 0.000 0.000 2.827 0.000 -0.856 0.000 4.771" Properties=species:S:1:pos:R:3 pbc="T T T"
Sc 0.000 0.000 0.000
Sc 4.664 1.413 0.000
Os 1.660 0.000 3.497
Os 2.148 1.413 1.274
Os 6.325 1.413 3.497
Os 6.813 0.000 1.274
Pt -0.428 1.413 2.386
Pt 4.237 0.000 2.386
```

Output
- Uncorrected energy: -35.40 eV per formula unit
- Magnetization: 0.0 Bohr magnetons per cell

---

6.
A plane-wave DFT calculation with PBE was carried out for crystalline ScOs2Pt at its relaxed geometry.

Structure (extended XYZ):
```
4
Lattice="2.836 0.000 0.000 0.000 3.900 0.000 0.000 0.000 5.744" Properties=species:S:1:pos:R:3 pbc="T T T"
Sc 0.000 0.000 0.000
Os 0.000 0.000 2.744
Os 1.418 1.950 1.681
Pt 1.418 1.950 4.394
```

Output
- Uncorrected energy: -36.05 eV per formula unit
- Magnetization: 0.0 Bohr magnetons per cell

---

7.
A plane-wave DFT calculation with PBE was carried out for crystalline ScOs2Pt at its relaxed geometry.

Structure (extended XYZ):
```
4
Lattice="2.845 0.000 0.000 0.000 2.845 0.000 0.000 0.000 7.895" Properties=species:S:1:pos:R:3 pbc="T T T"
Sc 0.000 0.000 0.000
Os 0.000 0.000 3.799
Os 1.423 1.423 2.134
Pt 1.423 1.423 5.838
```

Output
- Uncorrected energy: -35.98 eV per formula unit
- Magnetization: 0.0 Bohr magnetons per cell

---

8.
A plane-wave DFT calculation with PBE was carried out for crystalline ScOs2Pt at its relaxed geometry.

Structure (extended XYZ):
```
4
Lattice="2.898 0.000 0.000 0.000 4.635 0.000 0.000 0.000 4.709" Properties=species:S:1:pos:R:3 pbc="T T T"
Sc 0.000 0.000 0.000
Os 0.000 2.318 2.355
Os 1.449 0.000 2.355
Pt 1.449 2.318 0.000
```

Output
- Uncorrected energy: -35.23 eV per formula unit
- Magnetization: 0.0 Bohr magnetons per cell

---

9.
A plane-wave DFT calculation with PBE was carried out for crystalline Sc4Os2Pt at its relaxed geometry.

Structure (extended XYZ):
```
7
Lattice="2.282 1.318 7.350 -2.282 1.318 7.350 0.000 -2.635 7.350" Properties=species:S:1:pos:R:3 pbc="T T T"
Sc 0.000 0.000 2.640
Sc 0.000 0.000 8.180
Sc 0.000 0.000 13.869
Sc 0.000 0.000 19.409
Os 0.000 0.000 5.462
Os 0.000 0.000 16.587
Pt 0.000 0.000 11.024
```

Output
- Uncorrected energy: -57.87 eV per formula unit
- Magnetization: 0.0 Bohr magnetons per cell

---

10.
A plane-wave DFT calculation with PBE was carried out for crystalline ScOsPt at its relaxed geometry.

Structure (extended XYZ):
```
6
Lattice="2.824 0.000 0.000 0.000 2.824 0.000 0.000 0.000 12.275" Properties=species:S:1:pos:R:3 pbc="T T T"
Sc 0.000 0.000 0.000
Sc 1.412 1.412 6.138
Os 0.000 0.000 8.201
Os 1.412 1.412 2.063
Pt 0.000 0.000 4.015
Pt 1.412 1.412 10.152
```

Output
- Offset from the most stable computed form: 0 meV per atom
- Uncorrected energy: -24.52 eV per formula unit
- Magnetization: 0.0 Bohr magnetons per cell

---

11.
A plane-wave DFT calculation with PBE was carried out for crystalline ScOs2Pt at its relaxed geometry.

Structure (extended XYZ):
```
16
Lattice="6.339 0.000 0.000 0.000 6.339 0.000 0.000 0.000 6.339" Properties=species:S:1:pos:R:3 pbc="T T T"
Sc 0.000 0.000 0.000
Sc 0.000 3.169 3.169
Sc 3.169 0.000 3.169
Sc 3.169 3.169 0.000
Os 0.000 0.000 3.169
Os 0.000 3.169 0.000
Os 1.585 1.585 4.754
Os 1.585 4.754 1.585
Os 3.169 0.000 0.000
Os 3.169 3.169 3.169
Os 4.754 1.585 1.585
Os 4.754 4.754 4.754
Pt 1.585 1.585 1.585
Pt 1.585 4.754 4.754
Pt 4.754 1.585 4.754
Pt 4.754 4.754 1.585
```

Output
- Uncorrected energy: -34.75 eV per formula unit
- Magnetization: 0.0 Bohr magnetons per cell

---

12.
A plane-wave DFT calculation with PBE was carried out for crystalline ScOsPt2 at its relaxed geometry.

Structure (extended XYZ):
```
12
Lattice="2.874 0.000 0.000 -1.437 2.489 0.000 0.000 0.000 27.215" Properties=species:S:1:pos:R:3 pbc="T T T"
Sc 0.000 0.000 0.000
Sc 0.000 1.659 18.143
Sc 1.437 0.830 9.072
Os 0.000 0.000 6.774
Os 0.000 1.659 24.917
Os 1.437 0.830 15.845
Pt 0.000 0.000 13.662
Pt 0.000 0.000 20.332
Pt 0.000 1.659 4.590
Pt 0.000 1.659 11.260
Pt 1.437 0.830 2.189
Pt 1.437 0.830 22.734
```

Output
- Uncorrected energy: -30.11 eV per formula unit
- Magnetization: 0.0 Bohr magnetons per cell

---

13.
A plane-wave DFT calculation with PBE was carried out for crystalline ScOsPt2 at its relaxed geometry.

Structure (extended XYZ):
```
8
Lattice="9.359 0.000 0.000 0.000 2.907 0.000 -0.897 0.000 4.725" Properties=species:S:1:pos:R:3 pbc="T T T"
Sc 0.000 0.000 0.000
Sc 4.680 1.454 0.000
Os -0.449 1.454 2.362
Os 4.231 0.000 2.362
Pt 1.614 0.000 3.486
Pt 2.168 1.454 1.239
Pt 6.294 1.454 3.486
Pt 6.847 0.000 1.239
```

Output
- Uncorrected energy: -31.10 eV per formula unit
- Magnetization: 0.0 Bohr magnetons per cell

---

14.
A plane-wave DFT calculation with PBE was carried out for crystalline Sc5OsPt4 at its relaxed geometry.

Structure (extended XYZ):
```
10
Lattice="3.261 0.000 0.000 0.000 3.261 0.000 0.000 0.000 16.587" Properties=species:S:1:pos:R:3 pbc="T T T"
Sc 0.000 0.000 0.000
Sc 0.000 0.000 3.390
Sc 0.000 0.000 6.739
Sc 0.000 0.000 9.848
Sc 0.000 0.000 13.197
Os 1.631 1.631 8.293
Pt 1.631 1.631 1.708
Pt 1.631 1.631 5.023
Pt 1.631 1.631 11.564
Pt 1.631 1.631 14.879
```

Output
- Uncorrected energy: -78.10 eV per formula unit
- Magnetization: 0.0 Bohr magnetons per cell

---

15.
A plane-wave DFT calculation with PBE was carried out for crystalline ScOsPt4 at its relaxed geometry.

Structure (extended XYZ):
```
6
Lattice="0.000 3.701 3.701 3.701 0.000 3.701 3.701 3.701 0.000" Properties=species:S:1:pos:R:3 pbc="T T T"
Sc 0.000 0.000 0.000
Os 5.551 5.551 5.551
Pt 2.780 2.780 2.780
Pt 4.621 4.621 2.780
Pt 4.621 2.780 4.621
Pt 2.780 4.621 4.621
```

Output
- Uncorrected energy: -42.42 eV per formula unit
- Magnetization: 1.6 Bohr magnetons per cell

---

16.
A plane-wave DFT calculation with PBE was carried out for crystalline ScOsPt3 at its relaxed geometry.

Structure (extended XYZ):
```
5
Lattice="4.826 0.000 0.000 0.000 4.826 0.000 0.000 0.000 4.826" Properties=species:S:1:pos:R:3 pbc="T T T"
Sc 0.000 0.000 0.000
Os 2.413 2.413 2.413
Pt 0.000 2.413 2.413
Pt 2.413 0.000 2.413
Pt 2.413 2.413 0.000
```

Output
- Offset from the most stable computed form: 0 meV per atom
- Uncorrected energy: -32.24 eV per formula unit
- Magnetization: 0.0 Bohr magnetons per cell

---

17.
A plane-wave DFT calculation with PBE was carried out for crystalline Sc2OsPt at its relaxed geometry.

Structure (extended XYZ):
```
16
Lattice="6.492 0.000 0.000 0.000 6.492 0.000 0.000 0.000 6.492" Properties=species:S:1:pos:R:3 pbc="T T T"
Sc 1.623 1.623 1.623
Sc 1.623 1.623 4.869
Sc 1.623 4.869 1.623
Sc 1.623 4.869 4.869
Sc 4.869 1.623 1.623
Sc 4.869 1.623 4.869
Sc 4.869 4.869 1.623
Sc 4.869 4.869 4.869
Os 0.000 0.000 0.000
Os 0.000 3.246 3.246
Os 3.246 0.000 3.246
Os 3.246 3.246 0.000
Pt 0.000 0.000 3.246
Pt 0.000 3.246 0.000
Pt 3.246 0.000 0.000
Pt 3.246 3.246 3.246
```

Output
- Offset from the most stable computed form: 51 meV per atom
- Uncorrected energy: -33.32 eV per formula unit
- Magnetization: 0.0 Bohr magnetons per cell

---

18.
A plane-wave DFT calculation with PBE was carried out for crystalline ScOsPt at its relaxed geometry.

Structure (extended XYZ):
```
6
Lattice="3.318 0.000 0.000 0.000 3.318 0.000 0.000 0.000 9.041" Properties=species:S:1:pos:R:3 pbc="T T T"
Sc 0.000 0.000 0.000
Sc 1.659 1.659 4.520
Os 0.000 0.000 5.969
Os 1.659 1.659 1.448
Pt 0.000 0.000 3.023
Pt 1.659 1.659 7.543
```

Output
- Offset from the most stable computed form: 141 meV per atom
- Uncorrected energy: -24.10 eV per formula unit
- Magnetization: 0.0 Bohr magnetons per cell

---

19.
A plane-wave DFT calculation with PBE was carried out for crystalline ScOsPt at its relaxed geometry.

Structure (extended XYZ):
```
12
Lattice="6.104 0.000 0.000 0.000 6.104 0.000 0.000 0.000 6.104" Properties=species:S:1:pos:R:3 pbc="T T T"
Sc 0.000 0.000 0.000
Sc 0.000 3.052 3.052
Sc 3.052 0.000 3.052
Sc 3.052 3.052 0.000
Os 1.526 1.526 4.578
Os 1.526 4.578 1.526
Os 4.578 1.526 1.526
Os 4.578 4.578 4.578
Pt 1.526 1.526 1.526
Pt 1.526 4.578 4.578
Pt 4.578 1.526 4.578
Pt 4.578 4.578 1.526
```

Output
- Offset from the most stable computed form: 657 meV per atom
- Uncorrected energy: -22.55 eV per formula unit
- Magnetization: 0.0 Bohr magnetons per cell

---

20.
A plane-wave DFT calculation with PBE was carried out for crystalline Sc2OsPt at its relaxed geometry.

Structure (extended XYZ):
```
12
Lattice="3.034 0.000 0.000 -1.517 2.628 0.000 0.000 0.000 27.993" Properties=species:S:1:pos:R:3 pbc="T T T"
Sc 0.000 0.000 0.000
Sc 0.000 0.000 6.396
Sc 0.000 1.752 18.662
Sc 0.000 1.752 25.058
Sc 1.517 0.876 9.331
Sc 1.517 0.876 15.727
Os 0.000 0.000 20.622
Os 0.000 1.752 11.291
Os 1.517 0.876 1.960
Pt 0.000 0.000 13.636
Pt 0.000 1.752 4.305
Pt 1.517 0.876 22.967
```

Output
- Offset from the most stable computed form: 910 meV per atom
- Uncorrected energy: -29.88 eV per formula unit
- Magnetization: 1.5 Bohr magnetons per cell

---

no.,E_form (eV per atom),Fermi-level density of states (states/eV/f.u.)
1,-0.022,3.26
2,0.106,5.49
3,0.026,4.42
4,-0.222,4.56
5,-0.142,5.43
6,-0.305,3.17
7,-0.287,1.86
8,-0.099,4.25
9,-0.578,2.49
10,-0.307,2.61
11,0.020,4.17
12,-0.118,6.14
13,-0.365,2.95
14,-1.105,3.10
15,-0.116,6.99
16,0.689,5.70
17,-0.846,0.46
18,-0.166,3.61
19,0.350,4.71
20,0.013,2.83